Record 1
Computed, not measured: crystalline Cu3BRu at its relaxed geometry at the PBEsol level of DFT.

abc: 3.861 3.861 3.861
angles: 90.00 90.00 90.00
Sites, in units of the cell vectors:
Ru (0.500, 0.500, 0.500)
Cu (0.000, 0.000, 0.500)
Cu (0.500, 0.000, 0.000)
Cu (0.000, 0.500, 0.000)
B (0.000, 0.000, 0.000)

Results
Energy relative to the elements = 559 meV per atom
Size of the total moment = 1.59 μB/f.u.
SG = No. 221
Theoretical density = 8.7 g/cm3

Record 2
Computed, not measured: crystalline CuBTeRu2 at its relaxed geometry at the PBEsol level of DFT.

abc: 3.575 4.617 4.617
angles: 90.00 90.00 90.00
Sites, in units of the cell vectors:
Te (0.500, 0.500, 0.500)
Cu (0.000, 0.000, 0.000)
Ru (0.000, 0.000, 0.500)
Ru (0.000, 0.500, 0.000)
B (0.500, 0.000, 0.000)

Results
Size of the total moment = 0.95 μB/f.u.
SG = No. 123
Theoretical density = 8.8 g/cm3
ΔE_f (raw) = 1.198 eV/atom

Record 3
Computed, not measured: crystalline Cu2BSb at its relaxed geometry at the PBEsol level of DFT.

abc: 4.302 4.302 4.302
angles: 60.00 60.00 60.00
Sites, in units of the cell vectors:
Sb (0.500, 0.500, 0.500)
Cu (0.750, 0.750, 0.750)
Cu (0.250, 0.250, 0.250)
B (0.000, 0.000, 0.000)

Results
Size of the total moment = 0.00 μB/f.u.
SG = No. 225
Theoretical density = 7.7 g/cm3
ΔE_f (raw) = 0.913 eV/atom

Record 4
Computed, not measured: crystalline TaCuB3 at its relaxed geometry at the PBEsol level of DFT.

abc: 3.746 3.746 3.746
angles: 90.00 90.00 90.00
Sites, in units of the cell vectors:
B (0.500, 0.000, 0.000)
B (0.000, 0.500, 0.000)
B (0.000, 0.000, 0.500)
Cu (0.000, 0.000, 0.000)
Ta (0.500, 0.500, 0.500)

Results
Energy relative to the elements = 1275 meV per atom
Size of the total moment = 0.00 μB/f.u.
SG = No. 221
Theoretical density = 8.7 g/cm3

Record 5
Computed, not measured: crystalline CuTcB3 at its relaxed geometry at the PBEsol level of DFT.

abc: 4.003 4.003 4.003
angles: 90.00 90.00 90.00
Sites, in units of the cell vectors:
Cu (0.500, 0.500, 0.500)
B (0.000, 0.500, 0.000)
B (0.500, 0.000, 0.000)
B (0.000, 0.000, 0.500)
Tc (0.000, 0.000, 0.000)

Results
Energy relative to the elements = 1276 meV per atom
Size of the total moment = 0.00 μB/f.u.
SG = No. 221
Theoretical density = 5.0 g/cm3

Record 6
Computed, not measured: crystalline Cu3BTe at its relaxed geometry at the PBEsol level of DFT.

abc: 4.752 4.752 4.752
angles: 90.00 90.00 90.00
Sites, in units of the cell vectors:
Cu (0.000, 0.500, 0.000)
Cu (0.000, 0.000, 0.500)
Cu (0.500, 0.000, 0.000)
Te (0.000, 0.000, 0.000)
B (0.500, 0.500, 0.500)

Results
Size of the total moment = 0.00 μB/f.u.
SG = No. 221
Theoretical density = 5.1 g/cm3
ΔE_f (raw) = 1.675 eV/atom